CaSmSi2Pd5 | Alexandria | PBE | optimized geometry; volume = 17.82 Å³ per atom; raw total energy = -5.686 eV/atom; formation energy without anion corrections = -0.8492 eV/atom
1.0
-3.239 1.837 -1.980
-2.578 -1.184 3.120
1.718 7.714 4.346
Ca Sm Si Pd
1 1 2 5
Cartesian
0.000 0.000 0.000 Ca
0.859 3.857 2.173 Sm
-2.680 1.351 1.147 Si
-1.419 7.016 4.339 Si
-0.833 1.458 2.714 Pd
-1.163 2.968 0.165 Pd
-0.028 5.073 4.751 Pd
-0.358 6.583 2.201 Pd
-2.050 4.184 2.743 Pd